1.
Pm2DyYHo (PBE, optimized geometry); DFT formation energy = 0.41 eV/atom; space-group type = Cmcm (63); crystal system = orthorhombic
1.0
4.179 -5.804 0.000
4.179 5.804 0.000
0.000 0.000 7.230
Pm Dy Y Ho
4 2 2 2
Direct
0.193 0.193 0.000
0.193 0.193 0.500
0.807 0.807 0.000
0.807 0.807 0.500
0.474 0.526 0.750
0.526 0.474 0.250
0.243 0.757 0.250
0.757 0.243 0.750
0.211 0.789 0.750
0.789 0.211 0.250

2.
PrSc2In2 (PBE, optimized geometry); DFT formation energy = -0.24 eV/atom; space-group type = I4/mmm (139); E above lowest polymorph = 0.0 meV per atom; crystal system = tetragonal
1.0
-2.268 2.268 13.397
2.268 -2.268 13.397
2.268 2.268 -13.397
Pr Sc In
2 4 4
Direct
0.126 0.126 0.000
0.874 0.874 0.000
0.250 0.750 0.500
0.429 0.429 0.000
0.571 0.571 0.000
0.750 0.250 0.500
0.000 0.500 0.500
0.324 0.324 0.000
0.500 0.000 0.500
0.676 0.676 0.000

3.
Rb2BeZnI6 (PBE, optimized geometry); space-group type = I4/mmm (139); ΔE_f (raw) = -0.748 eV per atom; crystal system = tetragonal
1.0
-4.116 4.116 5.917
4.116 -4.116 5.917
4.116 4.116 -5.917
Rb Be Zn I
2 1 1 6
Direct
0.250 0.750 0.500
0.750 0.250 0.500
0.000 0.000 0.000
0.500 0.500 0.000
0.221 0.221 0.443
0.221 0.779 0.000
0.286 0.286 0.000
0.714 0.714 0.000
0.779 0.221 0.000
0.779 0.779 0.557

4.
MnNiBiBr2 (PBE, optimized geometry); space-group type = P4/mmm (123); ΔE_f (raw) = 0.630 eV per atom; crystal system = tetragonal
1.0
5.894 0.000 0.000
0.000 5.894 0.000
0.000 0.000 4.903
Mn Ni Bi Br
1 1 1 2
Direct
0.000 0.000 0.000
0.500 0.500 0.000
0.500 0.500 0.500
0.000 0.500 0.500
0.500 0.000 0.500

5.
CaCuBr3 (PBE, optimized geometry); space-group type = Pm-3m (221); E above lowest polymorph = 557.5 meV per atom; ΔE_f (raw) = -0.714 eV per atom; crystal system = cubic
1.0
5.614 0.000 0.000
0.000 5.614 0.000
0.000 0.000 5.614
Ca Cu Br
1 1 3
Direct
0.000 0.000 0.000
0.500 0.500 0.500
0.000 0.000 0.500
0.000 0.500 0.000
0.500 0.000 0.000

6.
LaY2CdHg (PBE, optimized geometry); DFT formation energy = 0.80 eV/atom; space-group type = P4/mmm (123); crystal system = tetragonal
1.0
5.756 0.000 0.000
0.000 5.756 0.000
0.000 0.000 5.764
La Y Cd Hg
1 2 1 1
Direct
0.000 0.000 0.000
0.000 0.500 0.000
0.500 0.000 0.000
0.500 0.500 0.500
0.000 0.000 0.500

7.
RbAcAsO4 (PBE, optimized geometry); space-group type = F-43m (216); ΔE_f (raw) = -1.805 eV per atom; crystal system = cubic
1.0
0.000 4.733 4.733
4.733 0.000 4.733
4.733 4.733 0.000
Rb Ac As O
1 1 1 4
Direct
0.000 0.000 0.000
0.250 0.250 0.250
0.500 0.500 0.500
0.394 0.394 0.394
0.394 0.394 0.818
0.394 0.818 0.394
0.818 0.394 0.394

8.
SbAs2RuBr (PBE, optimized geometry); space-group type = P4/mmm (123); E above lowest polymorph = 0.0 meV per atom; ΔE_f (raw) = 0.445 eV per atom; crystal system = tetragonal
1.0
4.773 0.000 0.000
0.000 4.773 0.000
0.000 0.000 5.202
Sb As Ru Br
1 2 1 1
Direct
0.000 0.000 0.000
0.000 0.500 0.500
0.500 0.000 0.500
0.500 0.500 0.500
0.500 0.500 0.000

9.
Mo3Pd (PBE, optimized geometry); DFT formation energy = 0.16 eV/atom; space-group type = Pmm2 (25); crystal system = orthorhombic
1.0
2.656 0.000 0.000
0.000 4.630 0.000
0.000 0.000 5.110
Mo Pd
3 1
Direct
0.000 0.000 0.000
0.000 0.500 0.297
0.500 0.500 0.799
0.500 0.000 0.484

10.
LiZr6Zn5 (PBE, optimized geometry); DFT formation energy = -0.20 eV/atom; space-group type = Immm (71); crystal system = orthorhombic
1.0
-2.360 3.345 7.092
2.360 -3.345 7.092
2.360 3.345 -7.092
Li Zr Zn
1 6 5
Direct
0.000 0.000 0.000
0.083 0.832 0.251
0.252 0.500 0.752
0.418 0.168 0.251
0.582 0.832 0.749
0.748 0.500 0.248
0.917 0.168 0.749
0.162 0.662 0.500
0.333 0.333 0.000
0.500 0.000 0.500
0.667 0.667 0.000
0.838 0.338 0.500

11.
Sm5Bi4N (PBE, optimized geometry); space-group type = I4 (79); ΔE_f (raw) = -0.864 eV per atom; crystal system = tetragonal
1.0
-4.854 4.854 3.203
4.854 -4.854 3.203
4.854 4.854 -3.203
Sm Bi N
5 4 1
Direct
0.000 0.000 0.000
0.326 0.678 0.841
0.485 0.326 0.649
0.678 0.836 0.351
0.836 0.485 0.159
0.001 0.775 0.607
0.168 0.394 0.393
0.394 0.001 0.226
0.775 0.168 0.774
0.643 0.643 0.000

12.
B2CS (PBE, optimized geometry); space-group type = Pm (6); E above lowest polymorph = 129.1 meV per atom; ΔE_f (raw) = -0.033 eV per atom; crystal system = monoclinic
1.0
4.757 0.000 0.000
0.000 2.875 0.000
-2.252 0.000 4.541
B C S
2 1 1
Direct
0.000 0.000 0.000
0.003 0.500 0.413
0.005 0.000 0.296
0.979 0.500 0.781

13.
DyCo3C (PBE, optimized geometry); DFT formation energy = 0.05 eV/atom; space-group type = Imma (74); crystal system = orthorhombic
1.0
-2.439 3.175 4.009
2.439 -3.175 4.009
2.439 3.175 -4.009
Dy Co C
2 6 2
Direct
0.000 0.000 0.000
0.500 0.000 0.500
0.000 0.000 0.500
0.000 0.500 0.000
0.212 0.647 0.565
0.418 0.353 0.065
0.582 0.647 0.935
0.788 0.353 0.435
0.196 0.446 0.750
0.804 0.554 0.250

14.
Na2TlS2 (PBE, optimized geometry); space-group type = P4/mbm (127); E above lowest polymorph = 82.9 meV per atom; ΔE_f (raw) = -0.591 eV per atom; crystal system = tetragonal
1.0
7.710 0.000 0.000
0.000 7.710 0.000
0.000 0.000 3.935
Na Tl S
4 2 4
Direct
0.133 0.367 0.000
0.367 0.867 0.000
0.633 0.133 0.000
0.867 0.633 0.000
0.000 0.000 0.500
0.500 0.500 0.500
0.180 0.680 0.500
0.320 0.180 0.500
0.680 0.820 0.500
0.820 0.320 0.500

15.
SmGa3AgAu (PBE, optimized geometry); DFT formation energy = -0.17 eV/atom; space-group type = Cmcm (63); crystal system = orthorhombic
1.0
2.870 -8.650 0.000
2.870 8.650 0.000
0.000 0.000 5.675
Sm Ga Ag Au
2 6 2 2
Direct
0.177 0.823 0.750
0.823 0.177 0.250
0.238 0.238 0.000
0.238 0.238 0.500
0.254 0.746 0.250
0.746 0.254 0.750
0.762 0.762 0.000
0.762 0.762 0.500
0.402 0.598 0.250
0.598 0.402 0.750
0.107 0.893 0.250
0.893 0.107 0.750

16.
LuZnAu (PBE, optimized geometry); DFT formation energy = -0.50 eV/atom; space-group type = F-43m (216); crystal system = cubic
1.0
0.000 3.254 3.254
3.254 0.000 3.254
3.254 3.254 0.000
Lu Zn Au
1 1 1
Direct
0.000 0.000 0.000
0.500 0.500 0.500
0.250 0.250 0.250

17.
TbYAl6 (PBE, optimized geometry); DFT formation energy = -0.09 eV/atom; space-group type = Pm-3 (200); E above lowest polymorph = 352.6 meV per atom; crystal system = cubic
1.0
5.516 0.000 0.000
0.000 5.516 0.000
0.000 0.000 5.516
Tb Y Al
1 1 6
Direct
0.000 0.000 0.000
0.500 0.500 0.500
0.000 0.500 0.250
0.000 0.500 0.750
0.250 0.000 0.500
0.500 0.250 0.000
0.500 0.750 0.000
0.750 0.000 0.500

18.
CaMg3Ga2 (PBE, optimized geometry); DFT formation energy = -0.25 eV/atom; space-group type = Immm (71); E above lowest polymorph = 0.0 meV per atom; crystal system = orthorhombic
1.0
-2.265 4.281 7.089
2.265 -4.281 7.089
2.265 4.281 -7.089
Ca Mg Ga
2 6 4
Direct
0.130 0.130 0.000
0.870 0.870 0.000
0.136 0.332 0.805
0.332 0.000 0.332
0.473 0.668 0.805
0.527 0.332 0.195
0.668 0.000 0.668
0.864 0.668 0.195
0.147 0.500 0.647
0.303 0.803 0.500
0.697 0.197 0.500
0.853 0.500 0.353

19.
VPtC3 (PBE, optimized geometry); DFT formation energy = 2.03 eV/atom; space-group type = Pm-3m (221); E above lowest polymorph = 0.0 meV per atom; crystal system = cubic
1.0
3.898 0.000 0.000
0.000 3.898 0.000
0.000 0.000 3.898
V Pt C
1 1 3
Direct
0.000 0.000 0.000
0.500 0.500 0.500
0.000 0.000 0.500
0.000 0.500 0.000
0.500 0.000 0.000

20.
Pm5Dy2Tl (PBE, optimized geometry); DFT formation energy = -0.05 eV/atom; space-group type = Pbam (55); E above lowest polymorph = 0.0 meV per atom; crystal system = orthorhombic
1.0
7.147 0.000 0.000
0.000 14.323 0.000
0.000 0.000 5.012
Pm Dy Tl
10 4 2
Direct
0.000 0.000 0.000
0.005 0.260 0.000
0.248 0.126 0.500
0.252 0.626 0.500
0.495 0.760 0.000
0.500 0.500 0.000
0.505 0.240 0.000
0.748 0.374 0.500
0.752 0.874 0.500
0.995 0.740 0.000
0.245 0.876 0.500
0.255 0.376 0.500
0.745 0.624 0.500
0.755 0.124 0.500
0.000 0.500 0.000
0.500 0.000 0.000